# PBE-GGA PmTe3, optimized geometry
data_PmTe3
_cell_length_a 4.422
_cell_length_b 6.060
_cell_length_c 6.140
_cell_angle_alpha 119.57
_cell_angle_beta 111.11
_cell_angle_gamma 90.00
_space_group_name_H-M_alt 'P 1'
_space_group_IT_number 1
loop_
_space_group_symop_operation_xyz
'x,y,z'
loop_
_atom_site_label
_atom_site_fract_x
_atom_site_fract_y
_atom_site_fract_z
_atom_site_occupancy
Te1 0.500 0.445 0.000 1
Te2 0.694 0.018 0.388 1
Te3 0.306 0.630 0.612 1
Pm1 0.000 0.073 0.000 1
# Mass density (g cm⁻³): 6.728
# VASP energy (eV/atom): -4.302